! K3Na5Au2 (GGA-PBE, optimized geometry); values from VASP
&SYSTEM
  ibrav = 0, nat = 20, ntyp = 3
/
ATOMIC_SPECIES
K 39.10 K.upf
Na 22.99 Na.upf
Au 196.97 Au.upf
CELL_PARAMETERS angstrom
-6.327 8.233 3.601
6.327 -8.233 3.601
6.327 8.233 -3.601
ATOMIC_POSITIONS crystal
K 0.176 0.211 0.387
K 0.250 0.250 0.000
K 0.324 0.711 0.035
K 0.676 0.289 0.965
K 0.750 0.750 0.000
K 0.824 0.789 0.613
Na 0.046 0.750 0.296
Na 0.070 0.717 0.787
Na 0.250 0.750 0.500
Na 0.430 0.217 0.648
Na 0.454 0.750 0.704
Na 0.546 0.250 0.296
Na 0.570 0.783 0.352
Na 0.750 0.250 0.500
Na 0.930 0.283 0.213
Na 0.954 0.250 0.704
Au 0.168 0.911 0.079
Au 0.332 0.411 0.743
Au 0.668 0.589 0.257
Au 0.832 0.089 0.921
! Energy relative to the elements, eV per formula unit: -1.2



! K8NaAu2O (GGA-PBE, optimized geometry); values from VASP
&SYSTEM
  ibrav = 0, nat = 12, ntyp = 4
/
ATOMIC_SPECIES
K 39.10 K.upf
Na 22.99 Na.upf
Au 196.97 Au.upf
O 16.00 O.upf
CELL_PARAMETERS angstrom
7.524 0.000 0.000
0.354 7.611 0.000
0.166 0.009 10.060
ATOMIC_POSITIONS crystal
K 0.201 0.333 0.179
K 0.209 0.344 0.816
K 0.231 0.773 0.004
K 0.281 0.889 0.502
K 0.719 0.111 0.498
K 0.769 0.227 0.996
K 0.791 0.656 0.184
K 0.799 0.667 0.821
Na 0.000 0.500 0.500
Au 0.498 0.000 0.782
Au 0.502 0.000 0.218
O 0.000 0.500 0.000
! Formation energy from raw total energies, eV per atom: -0.313



| no. | DOS at the Fermi energy (states/eV per cell) | M_tot (μB/cell) |
| --- | --- | --- |
| 1 | 8.5 | 0.00 |
| 2 | 5.5 | 0.00 |